A geometry-optimized Zr5AlNi2 structure. Source: the Alexandria database, functional PBE.

## Properties
- Energy above the lowest structure with this stoichiometry: 173 meV per atom
- Formation energy: -0.11 eV/atom
- Raw total energy: -7.37 eV/atom
- Total magnetic moment: 0.0000 μB/atom

a = 6.024 Å, b = 11.603 Å, c = 4.519 Å
α = 90.00°, β = 90.00°, γ = 90.00°
Space group Pbam (No. 55)
Inequivalent atoms, fractional coordinates:
Zr  0.000  0.000  0.000 x2
Zr  0.158  0.280  0.000 x4
Zr  0.192  0.597  0.500 x4
Al  0.000  0.500  0.000 x2
Ni  0.084  0.824  0.500 x4



A geometry-optimized Zr2Al5Ni structure. Source: the Alexandria database, functional PBE.

## Properties
- Energy above the lowest structure with this stoichiometry: 216 meV per atom
- Formation energy: -0.32 eV/atom
- Raw total energy: -5.52 eV/atom
- Total magnetic moment: 0.0000 μB/atom

a = 4.391 Å, b = 4.391 Å, c = 13.857 Å
α = 90.00°, β = 90.00°, γ = 90.00°
Space group I4/mmm (No. 139)
Inequivalent atoms, fractional coordinates:
Zr  0.000  0.000  0.249 x4
Al  0.000  0.000  0.500 x2
Al  0.000  0.500  0.106 x8
Ni  0.000  0.000  0.000 x2



A geometry-optimized Zr5AlNi2 structure. Source: the Alexandria database, functional PBE.

## Properties
- Energy above the lowest structure with this stoichiometry: 0 meV per atom
- Formation energy: -0.29 eV/atom
- Raw total energy: -7.54 eV/atom
- Total magnetic moment: 0.0001 μB/atom

a = 4.391 Å, b = 4.391 Å, c = 15.631 Å
α = 90.00°, β = 90.00°, γ = 90.00°
Space group I4/mmm (No. 139)
Inequivalent atoms, fractional coordinates:
Zr  0.000  0.000  0.000 x2
Zr  0.000  0.500  0.140 x8
Al  0.000  0.000  0.500 x2
Ni  0.000  0.000  0.249 x4



A geometry-optimized Zr5AlNi structure. Source: the Alexandria database, functional PBE.

## Properties
- Energy above the lowest structure with this stoichiometry: 241 meV per atom
- Formation energy: 0.10 eV/atom
- Raw total energy: -7.36 eV/atom
- Total magnetic moment: 0.0001 μB/atom

a = 4.291 Å, b = 4.291 Å, c = 8.218 Å
α = 90.00°, β = 90.00°, γ = 90.00°
Space group P4/mmm (No. 123)
Inequivalent atoms, fractional coordinates:
Zr  0.000  0.000  0.000 x1
Zr  0.000  0.500  0.267 x4
Al  0.500  0.500  0.500 x1
Ni  0.500  0.500  0.000 x1



A geometry-optimized ZrAl2Ni3 structure. Source: the Alexandria database, functional PBE.

## Properties
- Energy above the lowest structure with this stoichiometry: 266 meV per atom
- Formation energy: -0.24 eV/atom
- Raw total energy: -5.80 eV/atom
- Total magnetic moment: 0.0000 μB/atom

a = 5.0534 Å, b = 5.0534 Å, c = 7.9133 Å
α = 90.00°, β = 90.00°, γ = 120.00°
Space group P6_3/mmc (No. 194)
Inequivalent atoms, fractional coordinates:
Zr  0.0000  0.0000  0.0000 x2
Al  0.3333  0.6667  0.0714 x4
Ni  0.1782  0.3565  0.7500 x6



A geometry-optimized Zr2Al5Ni structure. Source: the Alexandria database, functional PBE.

## Properties
- Energy above the lowest structure with this stoichiometry: 0 meV per atom
- Formation energy: -0.54 eV/atom
- Raw total energy: -5.73 eV/atom
- Total magnetic moment: 0.0000 μB/atom

a = 5.729 Å, b = 11.407 Å, c = 4.063 Å
α = 90.00°, β = 90.00°, γ = 90.00°
Space group Pbam (No. 55)
Inequivalent atoms, fractional coordinates:
Zr  0.225  0.132  0.000 x4
Al  0.000  0.000  0.500 x2
Al  0.010  0.738  0.500 x4
Al  0.218  0.388  0.000 x4
Ni  0.000  0.500  0.500 x2



A geometry-optimized ZrAl2Ni structure. Source: the Alexandria database, functional PBE.

## Properties
- Formation energy: -0.32 eV/atom
- Raw total energy: -5.77 eV/atom
- Total magnetic moment: 0.0036 μB/atom

a = 5.288 Å, b = 4.167 Å, c = 5.962 Å
α = 90.00°, β = 90.00°, γ = 90.00°
Space group Pmma (No. 51)
Inequivalent atoms, fractional coordinates:
Zr  0.250  0.000  0.151 x2
Al  0.000  0.500  0.500 x2
Al  0.250  0.000  0.657 x2
Ni  0.250  0.500  0.862 x2



A geometry-optimized Zr2Al5Ni structure. Source: the Alexandria database, functional PBE.

## Properties
- Energy above the lowest structure with this stoichiometry: 315 meV per atom
- Formation energy: -0.22 eV/atom
- Raw total energy: -5.42 eV/atom
- Total magnetic moment: 0.0000 μB/atom

a = 2.955 Å, b = 6.835 Å, c = 13.953 Å
α = 90.00°, β = 90.00°, γ = 90.00°
Space group Immm (No. 71)
Inequivalent atoms, fractional coordinates:
Zr  0.000  0.000  0.212 x4
Al  0.000  0.000  0.000 x2
Al  0.000  0.206  0.396 x8
Ni  0.000  0.500  0.000 x2



A geometry-optimized Zr2AlNi structure. Source: the Alexandria database, functional PBE.

## Properties
- Formation energy: -0.31 eV/atom
- Raw total energy: -6.96 eV/atom
- Total magnetic moment: 0.0000 μB/atom

a = 6.411 Å, b = 8.284 Å, c = 5.610 Å
α = 90.00°, β = 90.00°, γ = 90.00°
Space group Pnma (No. 62)
Inequivalent atoms, fractional coordinates:
Zr  0.193  0.052  0.169 x8
Al  0.033  0.250  0.629 x4
Ni  0.107  0.750  0.953 x4



A geometry-optimized Zr2AlNi structure. Source: the Alexandria database, functional PBE.

## Properties
- Formation energy: -0.30 eV/atom
- Raw total energy: -6.96 eV/atom
- Total magnetic moment: 0.0000 μB/atom

a = 5.818 Å, b = 7.738 Å, c = 3.203 Å
α = 90.00°, β = 90.00°, γ = 90.00°
Space group Cmmm (No. 65)
Inequivalent atoms, fractional coordinates:
Zr  0.250  0.250  0.000 x4
Al  0.000  0.000  0.500 x2
Ni  0.000  0.500  0.500 x2



A geometry-optimized ZrAl2Ni3 structure. Source: the Alexandria database, functional PBE.

## Properties
- Energy above the lowest structure with this stoichiometry: 100 meV per atom
- Formation energy: -0.40 eV/atom
- Raw total energy: -5.97 eV/atom
- Total magnetic moment: 0.0000 μB/atom

a = 3.020 Å, b = 13.075 Å, c = 4.247 Å
α = 90.00°, β = 90.00°, γ = 90.00°
Space group Cmmm (No. 65)
Inequivalent atoms, fractional coordinates:
Zr  0.000  0.000  0.000 x2
Al  0.000  0.162  0.500 x4
Ni  0.000  0.328  0.000 x4
Ni  0.000  0.500  0.500 x2



A geometry-optimized Zr2Al6Ni structure. Source: the Alexandria database, functional PBE.

## Properties
- Formation energy: -0.23 eV/atom
- Raw total energy: -5.27 eV/atom
- Total magnetic moment: 0.0000 μB/atom

a = 7.6486 Å, b = 7.6486 Å, c = 3.1484 Å
α = 90.00°, β = 90.00°, γ = 120.00°
Space group P-62m (No. 189)
Inequivalent atoms, fractional coordinates:
Zr  0.3333  0.6667  0.0000 x2
Al  0.0000  0.2485  0.0000 x3
Al  0.0000  0.6548  0.5000 x3
Ni  0.0000  0.0000  0.5000 x1